This record from OQMD describes a relaxed Sr5Hg3 crystal. The functional is PBE-GGA.

a = 4.0187 Å, b = 4.0187 Å, c = 18.1789 Å
α = 90.00°, β = 90.00°, γ = 90.00°
Last column: nearest neighbours and their distance in Å.
Fractional positions:
Sr 0.0000 0.0000 0.0000  8 Hg 3.50, 2 Sr 3.88
Sr 0.0000 0.0000 0.2135  4 Hg 3.38
Sr 0.0000 0.0000 0.7865  4 Hg 3.38
Sr 0.5000 0.5000 0.3943  4 Hg 3.43
Sr 0.5000 0.5000 0.6057  4 Hg 3.43
Hg 0.0000 0.0000 0.5000  8 Sr 3.43
Hg 0.5000 0.5000 0.1125  8 Sr 3.38-3.50
Hg 0.5000 0.5000 0.8875  8 Sr 3.38-3.50

Output
* density: 5.9 Mg/m³
* space-group type: P4/mmm, No. 123
* calculated total energy: -12.7 eV/cell